Compound: RuCl3
Source: Alexandria
Functional: PBE
Structure: relaxed

Structure (POSCAR):
```
RuCl3
1.0
4.7494 0.0000 0.0000
0.0000 12.6469 0.0000
0.0000 0.0000 3.5742
Ru Cl
2 6
direct
0.0000 0.0000 0.0000
0.5000 0.5000 0.0000
0.0000 0.1249 0.5000
0.0000 0.5000 0.0000
0.0000 0.8751 0.5000
0.5000 0.0000 0.0000
0.5000 0.3751 0.5000
0.5000 0.6249 0.5000
```

## Properties
Total DFT energy (no corrections) = -4.11 eV per atom
Formation energy without anion corrections = -0.40 eV/atom
Space group = Cmmm, No. 65